Entry 1:
## LaNdAgGe (PBE)

Data for a relaxed LaNdAgGe crystal.

Geometry as POSCAR:
```
LaNdAgGe
1.0
7.500 0.000 0.000
0.000 7.500 0.000
0.000 0.000 7.500
La Nd Ag Ge
4 4 4 4
Cartesian
0.000 0.000 0.000 La
0.000 3.750 3.750 La
3.750 0.000 3.750 La
3.750 3.750 0.000 La
0.000 0.000 3.750 Nd
0.000 3.750 0.000 Nd
3.750 0.000 0.000 Nd
3.750 3.750 3.750 Nd
1.875 1.875 5.625 Ag
1.875 5.625 1.875 Ag
5.625 1.875 1.875 Ag
5.625 5.625 5.625 Ag
1.875 1.875 1.875 Ge
1.875 5.625 5.625 Ge
5.625 1.875 5.625 Ge
5.625 5.625 1.875 Ge
```

Calculated values
VASP energy, eV per atom: -4.811
Space group: F-43m
Energy of formation, eV per atom: -0.520
Size of the total moment, μB per cell: 0.1


Entry 2:
## V8Ga2Si3 (PBE)

Data for a relaxed V8Ga2Si3 crystal.

Geometry as POSCAR:
```
V8Ga2Si3
1.0
3.436 -6.176 0.000
3.436 6.176 0.000
0.000 0.000 4.484
V Ga Si
8 2 3
Cartesian
3.436 4.926 0.000 V
2.237 1.225 2.242 V
3.436 2.242 0.000 V
2.237 -1.225 2.242 V
4.636 1.225 2.242 V
3.436 -2.242 0.000 V
4.636 -1.225 2.242 V
3.436 -4.926 0.000 V
3.436 3.543 2.242 Ga
3.436 -3.543 2.242 Ga
0.000 0.000 2.242 Si
2.194 0.000 0.000 Si
4.679 0.000 0.000 Si
```

Calculated values
VASP energy, eV per atom: -7.276
Space group: Cmmm
Size of the total moment, μB per cell: 0.3


Entry 3:
## WAu3 (PBE)

Data for a relaxed WAu3 crystal.

Geometry as POSCAR:
```
WAu3
1.0
2.817 0.000 0.000
0.000 4.089 0.000
-0.014 0.000 6.036
W Au
1 3
Cartesian
0.000 0.000 0.000 W
-0.007 0.000 3.018 Au
1.396 2.045 4.615 Au
1.407 2.045 1.420 Au
```

Calculated values
VASP energy, eV per atom: -5.337
Space group: P2/m
Energy of formation, eV per atom: 0.359
Size of the total moment, μB per cell: 0.0


Entry 4:
## LiSc3W (PBE)

Data for a relaxed LiSc3W crystal.

Geometry as POSCAR:
```
LiSc3W
1.0
4.676 0.000 0.000
0.000 4.676 0.000
0.000 0.000 4.676
Li Sc W
1 3 1
Cartesian
0.000 0.000 0.000 Li
0.000 0.000 2.338 Sc
0.000 2.338 0.000 Sc
2.338 0.000 0.000 Sc
2.338 2.338 2.338 W
```

Calculated values
VASP energy, eV per atom: -5.697
Space group: Pm-3m
Energy of formation, eV per atom: 1.076
Size of the total moment, μB per cell: 0.0